No. 1
Below is a PBEsol-optimized structure of TlAgTeO3, with properties calculated at the SCAN level.

extended XYZ file:
```
24
Lattice="-5.5586 7.4293 2.4981 5.5586 -7.4293 2.4981 5.5586 7.4293 -2.4981" Properties=species:S:1:pos:R:3 pbc="T T T"
Tl 1.3013 1.3610 0.0000
Tl 1.3013 -1.3610 2.4981
Tl 4.2573 8.7903 0.0000
Tl 4.2573 6.0684 2.4981
Ag 4.3174 -3.8633 2.6556
Ag 4.3174 3.8633 0.1575
Ag 1.2412 3.5660 2.6556
Ag 1.2412 11.2927 0.1575
Te 7.0306 1.5479 0.2029
Te 1.4719 5.8815 0.2029
Te 4.0867 1.5479 2.7010
Te -1.4719 5.8815 2.7010
O 3.9347 1.5306 -0.3975
O 8.9002 1.5286 -0.1476
O 6.7472 3.4179 0.0484
O 1.1885 4.0115 0.0484
O 3.9347 -1.5306 2.1006
O 3.3416 5.9008 -0.1476
O 1.6239 8.9599 -0.3975
O 2.2171 1.5286 2.3505
O 4.3701 3.4179 2.5465
O -1.1885 4.0115 2.5465
O 1.6239 5.8988 2.1006
O -3.3416 5.9008 2.3505
```

Properties
Formation energy without anion corrections = -816 meV per atom
DOS(E_F) = 0.00 states/eV/f.u.



No. 2
Below is a PBEsol-optimized structure of VAgTeO5, with properties calculated at the SCAN level.

extended XYZ file:
```
32
Lattice="5.5862 0.0000 0.0000 0.0000 11.5301 0.0000 -1.2312 0.0000 6.6646" Properties=species:S:1:pos:R:3 pbc="T T T"
V 0.5163 1.4162 2.7756
V -0.0993 4.3489 6.1079
V 4.4543 7.1812 0.5567
V 3.8387 10.1139 3.8890
Ag 0.6583 8.3100 5.2458
Ag 1.2739 8.9851 1.9136
Ag 3.0811 2.5449 4.7510
Ag 3.6967 3.2201 1.4187
Te 0.3262 0.7500 6.0138
Te 0.9418 5.0150 2.6815
Te 3.4132 6.5151 3.9831
Te 4.0288 10.7800 0.6508
O 0.2540 7.9671 0.0769
O -0.3616 9.3280 3.4092
O 0.1529 0.3032 1.4559
O -0.4627 5.4618 4.7882
O 1.1544 0.5771 4.2519
O 1.7700 5.1879 0.9197
O 1.6062 2.5700 2.2140
O 0.9906 3.1951 5.5463
O 1.5210 6.8200 3.1791
O 0.9054 10.4751 6.5114
O 3.4496 1.0550 0.1532
O 2.8340 4.7101 3.4855
O 3.3644 8.3350 1.1182
O 2.7488 8.9601 4.4505
O 2.5850 6.3421 5.7449
O 3.2006 10.9530 2.4126
O 4.8177 6.0683 1.8764
O 4.2021 11.2268 5.2086
O 4.7166 2.2021 3.2554
O 4.1010 3.5630 6.5877
```

Properties
Formation energy without anion corrections = -1569 meV per atom
DOS(E_F) = 0.00 states/eV/f.u.



No. 3
Below is a PBEsol-optimized structure of Ti3AgO, with properties calculated at the SCAN level.

extended XYZ file:
```
5
Lattice="4.0938 0.0000 0.0000 0.0000 4.0938 0.0000 0.0000 0.0000 4.0938" Properties=species:S:1:pos:R:3 pbc="T T T"
Ti 0.0000 0.0000 2.0469
Ti 0.0000 2.0469 0.0000
Ti 2.0469 0.0000 0.0000
Ag 2.0469 2.0469 2.0469
O 0.0000 0.0000 0.0000
```

Properties
Formation energy without anion corrections = -1197 meV per atom
DOS(E_F) = 3.47 states/eV/f.u.



Which formula does entry 3 have?
Ti3AgO



What is the formation energy without anion corrections in the second record?
-1569 meV per atom